Entry 1:
Density functional theory data (PBE) for a relaxed BaTiSbI2 crystal.

Formation energy without anion corrections (kcal/mol of atoms): 8.0
E_tot (eV/atom): -3.063
Offset from the most stable computed form (eV per atom): 1.067

```
data_BaTiSbI2
_chemical_formula_sum 'Ba1 Ti1 Sb1 I2'
_symmetry_space_group_name_H-M 'P 4/m m m'
_symmetry_Int_Tables_number 123
_symmetry_space_group_name_Hall '-P 4 2'
_cell_length_a 6.541
_cell_length_b 6.541
_cell_length_c 6.913
_cell_angle_alpha 90.00
_cell_angle_beta 90.00
_cell_angle_gamma 90.00
loop_
_atom_site_label
_atom_site_type_symbol
_atom_site_fract_x
_atom_site_fract_y
_atom_site_fract_z
Ba1 Ba 0.000 0.000 0.000
Ti1 Ti 0.500 0.500 0.500
Sb1 Sb 0.000 0.000 0.500
I1 I 0.000 0.500 0.000
```


Entry 2:
Density functional theory data (PBE) for a relaxed BaTiSbI2 crystal.

Formation energy without anion corrections (kcal/mol of atoms): -16.7
E_tot (eV/atom): -4.130
Offset from the most stable computed form (eV per atom): 0.000

```
data_BaTiSbI2
_chemical_formula_sum 'Ba1 Ti1 Sb1 I2'
_symmetry_space_group_name_H-M 'P 4/m m m'
_symmetry_Int_Tables_number 123
_symmetry_space_group_name_Hall '-P 4 2'
_cell_length_a 5.693
_cell_length_b 5.693
_cell_length_c 5.485
_cell_angle_alpha 90.00
_cell_angle_beta 90.00
_cell_angle_gamma 90.00
loop_
_atom_site_label
_atom_site_type_symbol
_atom_site_fract_x
_atom_site_fract_y
_atom_site_fract_z
Ba1 Ba 0.000 0.000 0.000
Ti1 Ti 0.500 0.500 0.500
Sb1 Sb 0.500 0.500 0.000
I1 I 0.000 0.500 0.500
```


Entry 3:
Density functional theory data (PBE) for a relaxed Ba6TlSb2I3 crystal.

Formation energy without anion corrections (kcal/mol of atoms): -27.3
E_tot (eV/atom): -3.416

```
data_Ba6TlSb2I3
_chemical_formula_sum 'Ba12 Tl2 Sb4 I6'
_symmetry_space_group_name_H-M 'C 1 2/m 1'
_symmetry_Int_Tables_number 12
_symmetry_space_group_name_Hall '-C 2y'
_cell_length_a 22.460
_cell_length_b 5.022
_cell_length_c 10.431
_cell_angle_alpha 90.00
_cell_angle_beta 104.70
_cell_angle_gamma 90.00
loop_
_atom_site_label
_atom_site_type_symbol
_atom_site_fract_x
_atom_site_fract_y
_atom_site_fract_z
Ba1 Ba 0.006 0.000 0.242
Ba2 Ba 0.161 0.500 0.103
Ba3 Ba 0.175 0.500 0.564
Tl1 Tl 0.000 0.500 0.000
Sb1 Sb 0.165 0.000 0.333
I1 I 0.000 0.500 0.500
I2 I 0.169 0.000 0.832
```


Entry 4:
Density functional theory data (PBE) for a relaxed BaTlSb2I crystal.

Formation energy without anion corrections (kcal/mol of atoms): -4.1
E_tot (eV/atom): -2.997
Offset from the most stable computed form (eV per atom): 0.000

```
data_BaTlSb2I
_chemical_formula_sum 'Ba1 Tl1 Sb2 I1'
_symmetry_space_group_name_H-M 'P 4/m m m'
_symmetry_Int_Tables_number 123
_symmetry_space_group_name_Hall '-P 4 2'
_cell_length_a 5.653
_cell_length_b 5.653
_cell_length_c 6.577
_cell_angle_alpha 90.00
_cell_angle_beta 90.00
_cell_angle_gamma 90.00
loop_
_atom_site_label
_atom_site_type_symbol
_atom_site_fract_x
_atom_site_fract_y
_atom_site_fract_z
Ba1 Ba 0.000 0.000 0.000
Tl1 Tl 0.500 0.500 0.500
Sb1 Sb 0.000 0.500 0.500
I1 I 0.500 0.500 0.000
```


Entry 5:
Density functional theory data (PBE) for a relaxed BaTlSbI2 crystal.

Formation energy without anion corrections (kcal/mol of atoms): -10.0
E_tot (eV/atom): -2.736
Offset from the most stable computed form (eV per atom): 0.038

```
data_BaTlSbI2
_chemical_formula_sum 'Ba1 Tl1 Sb1 I2'
_symmetry_space_group_name_H-M 'P 4/m m m'
_symmetry_Int_Tables_number 123
_symmetry_space_group_name_Hall '-P 4 2'
_cell_length_a 6.690
_cell_length_b 6.690
_cell_length_c 6.902
_cell_angle_alpha 90.00
_cell_angle_beta 90.00
_cell_angle_gamma 90.00
loop_
_atom_site_label
_atom_site_type_symbol
_atom_site_fract_x
_atom_site_fract_y
_atom_site_fract_z
Ba1 Ba 0.000 0.000 0.000
Tl1 Tl 0.500 0.500 0.500
Sb1 Sb 0.000 0.000 0.500
I1 I 0.000 0.500 0.000
```


Entry 6:
Density functional theory data (PBE) for a relaxed BaTlSbI2 crystal.

Formation energy without anion corrections (kcal/mol of atoms): -10.9
E_tot (eV/atom): -2.774
Offset from the most stable computed form (eV per atom): 0.000

```
data_BaTlSbI2
_chemical_formula_sum 'Ba1 Tl1 Sb1 I2'
_symmetry_space_group_name_H-M 'P 4/m m m'
_symmetry_Int_Tables_number 123
_symmetry_space_group_name_Hall '-P 4 2'
_cell_length_a 6.252
_cell_length_b 6.252
_cell_length_c 5.804
_cell_angle_alpha 90.00
_cell_angle_beta 90.00
_cell_angle_gamma 90.00
loop_
_atom_site_label
_atom_site_type_symbol
_atom_site_fract_x
_atom_site_fract_y
_atom_site_fract_z
Ba1 Ba 0.000 0.000 0.000
Tl1 Tl 0.500 0.500 0.500
Sb1 Sb 0.500 0.500 0.000
I1 I 0.000 0.500 0.500
```


Question: Number 4 is which compound?
Answer: BaTlSb2I


Question: Which formula does entry 2 have?
Answer: BaTiSbI2


Question: The highest E_tot belongs to which entry?
Answer: number 5


Please write out number 2 again, unchanged.
Density functional theory data (PBE) for a relaxed BaTiSbI2 crystal.

Formation energy without anion corrections (kcal/mol of atoms): -16.7
E_tot (eV/atom): -4.130
Offset from the most stable computed form (eV per atom): 0.000

```
data_BaTiSbI2
_chemical_formula_sum 'Ba1 Ti1 Sb1 I2'
_symmetry_space_group_name_H-M 'P 4/m m m'
_symmetry_Int_Tables_number 123
_symmetry_space_group_name_Hall '-P 4 2'
_cell_length_a 5.693
_cell_length_b 5.693
_cell_length_c 5.485
_cell_angle_alpha 90.00
_cell_angle_beta 90.00
_cell_angle_gamma 90.00
loop_
_atom_site_label
_atom_site_type_symbol
_atom_site_fract_x
_atom_site_fract_y
_atom_site_fract_z
Ba1 Ba 0.000 0.000 0.000
Ti1 Ti 0.500 0.500 0.500
Sb1 Sb 0.500 0.500 0.000
I1 I 0.000 0.500 0.500
```